[1]
DFT (PBE) results for P2PdWC after structural relaxation.

Properties
E_form in eV per atom: 1.9822
Fermi-level density of states in states/eV/atom: 0.862
Crystal system: tetragonal

a b c (Å): 4.5754 5.1042 4.5754
angles (deg): 90.00 90.00 90.00
Last column: nearest neighbours and their distance in Å.
Fractional coordinates of all 5 atoms:
C 0.5000 0.5000 0.5000  4 Pd 3.24, 8 P 3.43
P 0.0000 0.0000 0.5000  2 W 2.29
P 0.5000 0.0000 0.0000  2 W 2.29
Pd 0.0000 0.5000 0.0000  2 W 2.55
W 0.0000 0.0000 0.0000  4 P 2.29, 2 Pd 2.55

[2]
DFT (PBE) results for Pm4PC2 after structural relaxation.

Properties
E_form in eV per atom: -0.4417
Fermi-level density of states in states/eV/atom: 0.310
Crystal system: tetragonal

a b c (Å): 7.4726 7.4725 7.4724
angles (deg): 109.79 109.81 108.82
Last column: nearest neighbours and their distance in Å.
Fractional coordinates of all 14 atoms:
C 0.6250 0.8751 0.2500  6 Pm 2.49-2.69
C 0.6250 0.3750 0.2500  6 Pm 2.49-2.69
C 0.1251 0.3750 0.7500  6 Pm 2.49-2.69
C 0.6250 0.3750 0.7500  6 Pm 2.49-2.69
P 0.2500 0.7500 0.5000  4 Pm 2.82
P 0.9997 0.9997 0.0000  4 Pm 2.82
Pm 0.3460 0.5327 0.1867  3 C 2.49-2.69
Pm 0.3460 0.1593 0.8133  3 C 2.49-2.69
Pm 0.9041 0.2174 0.3134  3 C 2.49-2.69
Pm 0.9041 0.5907 0.6866  3 C 2.49-2.69
Pm 0.7826 0.0959 0.6867  3 C 2.49-2.69
Pm 0.8408 0.6541 0.1866  3 C 2.49-2.69
Pm 0.4675 0.6542 0.8134  3 C 2.49-2.69
Pm 0.4092 0.0959 0.3133  3 C 2.49-2.69

[3]
DFT (PBE) results for Pm6PC2 after structural relaxation.

Properties
E_form in eV per atom: -0.2881
Fermi-level density of states in states/eV/atom: 0.951
Crystal system: monoclinic

a b c (Å): 5.0168 7.0204 7.8841
angles (deg): 72.41 71.45 69.07
Last column: nearest neighbours and their distance in Å.
Fractional coordinates of all 9 atoms:
Pm 0.9678 0.8550 0.2094  2 C 2.52-2.61
Pm 0.3507 0.7079 0.5906  1 C 2.43
Pm 0.6493 0.2921 0.4094  1 C 2.43
Pm 0.0322 0.1450 0.7906  2 C 2.52-2.61
Pm 0.6964 0.6766 0.9306  3 C 2.54-2.75
Pm 0.3036 0.3234 0.0694  3 C 2.54-2.75
P 0.0000 0.5000 0.5000  6 Pm 2.83-3.00
C 0.1754 0.7411 0.9081  5 Pm 2.43-2.61
C 0.8246 0.2589 0.0919  5 Pm 2.43-2.61

[4]
DFT (PBE) results for Pm2PC after structural relaxation.

Properties
ΔE to the lowest computed polymorph in kcal/mol of atoms: 13.13
E_form in eV per atom: -0.0345
Fermi-level density of states in states/eV/atom: 0.489
Crystal system: tetragonal

a b c (Å): 3.1898 4.9570 4.9570
angles (deg): 90.00 90.00 90.00
Last column: nearest neighbours and their distance in Å.
Fractional coordinates of all 4 atoms:
C 0.5000 0.5000 0.5000  8 Pm 2.95, 2 C 3.19
Pm 0.0000 0.0000 0.5000  4 C 2.95, 4 P 2.95, 2 Pm 3.19
Pm 0.0000 0.5000 0.0000  4 C 2.95, 4 P 2.95, 2 Pm 3.19
P 0.5000 0.0000 0.0000  8 Pm 2.95, 2 P 3.19